# 1
VASP calculation (PBE) on a relaxed Dy5Bi2Ir2 crystal.

extended XYZ file:
```
18
Lattice="-0.818 -6.676 -4.010 7.771 0.011 -1.603 -2.538 -4.075 7.302" Properties=species:S:1:pos:R:3 pbc="T T T"
Dy 0.000 0.000 0.000
Dy 3.477 -3.332 -2.807
Dy 4.790 -6.534 -2.922
Dy 2.788 -2.017 0.321
Dy 6.529 -3.194 -1.191
Dy 1.049 -5.357 -1.409
Dy -0.375 -4.206 4.610
Dy 1.627 -8.723 1.367
Dy -2.114 -7.546 2.879
Dy 3.366 -5.383 3.097
Bi 0.565 -1.708 2.728
Bi 4.042 -5.041 -0.078
Bi 4.667 -2.356 2.970
Bi 0.373 -5.699 1.766
Ir 6.203 -4.222 -3.929
Ir 0.750 -2.443 -1.685
Ir 4.826 -0.887 -1.555
Ir 2.128 -5.778 -4.059
```

Crystal system: orthorhombic
ΔE_f, eV/atom: -0.805

# 2
VASP calculation (PBE) on a relaxed LiDyBiIr crystal.

extended XYZ file:
```
4
Lattice="4.806 0.000 0.000 2.403 4.163 0.000 2.403 1.388 3.924" Properties=species:S:1:pos:R:3 pbc="T T T"
Ir 7.210 4.163 2.943
Li 2.403 1.388 0.981
Bi 0.000 0.000 0.000
Dy 4.806 2.775 1.962
```

Crystal system: cubic
ΔE_f, eV/atom: -0.563

# 3
VASP calculation (PBE) on a relaxed DyBi2IrO8 crystal.

extended XYZ file:
```
12
Lattice="-2.685 -2.844 -3.257 3.603 -3.652 0.142 -3.194 -2.948 5.208" Properties=species:S:1:pos:R:3 pbc="T T T"
Dy -1.597 -1.474 2.604
Bi -1.949 -5.471 2.370
Bi -0.327 -3.973 -0.276
Ir 0.000 0.000 0.000
O 1.737 -4.019 0.751
O -2.297 -7.800 3.011
O -2.236 -3.785 -1.553
O -4.013 -5.425 1.342
O 0.021 -1.644 -0.918
O -0.039 -5.659 3.647
O -0.862 -5.956 0.517
O -1.414 -3.488 1.576
```

Crystal system: monoclinic
E_form (uncorrected), eV per atom: -1.42

no.,size of the total moment (μB/f.u.)
1,0.00
2,0.00
3,0.79